This record from Alexandria describes crystalline V2InPd8 at its relaxed geometry. The functional is PBE.

Output
Formation energy in eV per atom: -0.29
DOS at the Fermi energy in states/eV/atom: 0.882
Total magnetic moment in μB per cell: 2.43
Uncorrected energy in eV/atom: -5.97

```
11
Lattice="-0.6747 -0.8145 -3.8245 -1.0568 -6.0019 1.4646 -5.9712 3.5716 2.3513" Properties=species:S:1:pos:R:3 pbc="T T T"
In -0.3374 -0.4072 -1.9122
Pd -1.3583 -4.0620 1.1047
Pd -2.0903 -0.3154 0.4359
Pd -5.6124 -2.9294 -0.4445
Pd -2.1039 -2.5709 -1.1398
Pd -4.0860 1.5123 0.3988
Pd -5.5987 -0.6739 1.1313
Pd -6.3444 0.8172 -1.1132
Pd -3.6167 -4.7571 -0.4073
V -4.1768 -0.7771 -1.1561
V -3.5258 -2.4677 1.1476
```



This record from Alexandria describes crystalline VIn2Pd8 at its relaxed geometry. The functional is PBE.

Output
Relative energy among the computed polymorphs in eV/atom: 0.137
Formation energy in eV per atom: -0.19
DOS at the Fermi energy in states/eV/atom: 0.700
Total magnetic moment in μB per cell: 0.02
Uncorrected energy in eV/atom: -5.30

```
11
Lattice="-0.9040 2.8279 -2.9909 3.8905 -3.4301 -4.4206 -6.3023 -2.5441 -0.5022" Properties=species:S:1:pos:R:3 pbc="T T T"
In 0.1328 -3.1035 -2.9760
In -2.5446 -2.8707 -1.9467
Pd -0.0293 1.7149 -4.3078
Pd -3.2865 -4.8611 -3.6059
Pd -0.7285 -5.0835 -4.5892
Pd -2.5873 1.9372 -3.3244
Pd -2.0788 -2.6155 -4.8161
Pd -1.2370 -0.5308 -3.0976
Pd -4.4163 -1.3334 -2.8964
Pd 1.1005 -1.8129 -5.0172
V -0.4520 1.4140 -1.4954
```



This record from Alexandria describes crystalline VIn3Pd at its relaxed geometry. The functional is PBE.

Output
Relative energy among the computed polymorphs in eV/atom: 0.000
Formation energy in eV per atom: 0.48
DOS at the Fermi energy in states/eV/atom: 1.240
Total magnetic moment in μB per cell: 3.97
Uncorrected energy in eV/atom: -4.03

```
5
Lattice="-3.9483 3.1059 -0.9473 -2.4364 -1.8478 4.0967 2.1465 3.6156 2.9074" Properties=species:S:1:pos:R:3 pbc="T T T"
In -1.9742 1.5529 -0.4737
In 1.0733 1.8078 1.4537
In -1.2182 -0.9239 2.0483
Pd 0.0000 0.0000 0.0000
V -2.1191 2.4368 3.0284
```



This record from Alexandria describes crystalline VIn2Pd at its relaxed geometry. The functional is PBE.

Output
Relative energy among the computed polymorphs in eV/atom: 0.336
Formation energy in eV per atom: 0.25
DOS at the Fermi energy in states/eV/atom: 0.933
Total magnetic moment in μB per cell: 5.51
Uncorrected energy in eV/atom: -4.70

```
8
Lattice="7.5293 0.0000 0.0000 0.0000 7.5293 0.0000 3.7646 3.7646 2.9242" Properties=species:S:1:pos:R:3 pbc="T T T"
Pd 7.5293 3.7646 1.4621
Pd 0.0000 0.0000 0.0000
V 3.7646 7.5293 1.4621
V 3.7646 3.7646 0.0000
In 1.7475 5.6469 0.7311
In 5.6469 5.5122 2.1932
In 9.4116 9.5464 2.1932
In 5.7817 1.8823 0.7311
```



This record from Alexandria describes crystalline VIn2Pd at its relaxed geometry. The functional is PBE.

Output
Relative energy among the computed polymorphs in eV/atom: 0.020
Formation energy in eV per atom: -0.07
DOS at the Fermi energy in states/eV/atom: 0.443
Total magnetic moment in μB per cell: 2.90
Uncorrected energy in eV/atom: -5.01

```
4
Lattice="0.0000 3.3226 3.3226 3.3226 0.0000 3.3226 3.3226 3.3226 0.0000" Properties=species:S:1:pos:R:3 pbc="T T T"
V 0.0000 0.0000 0.0000
In 4.9840 4.9840 4.9840
In 1.6613 1.6613 1.6613
Pd 3.3226 3.3226 3.3226
```



This record from Alexandria describes crystalline VInPd6 at its relaxed geometry. The functional is PBE.

Output
Relative energy among the computed polymorphs in eV/atom: 0.166
Formation energy in eV per atom: -0.20
DOS at the Fermi energy in states/eV/atom: 0.812
Total magnetic moment in μB per cell: 1.15
Uncorrected energy in eV/atom: -5.57

```
8
Lattice="-5.2751 2.9701 -3.3913 -1.8662 -1.9714 -6.8861 -4.1086 -1.8563 -2.3315" Properties=species:S:1:pos:R:3 pbc="T T T"
In 0.0000 0.0000 0.0000
V -5.6249 -0.4288 -6.3045
Pd -2.3646 0.2196 -1.7592
Pd -1.9412 -1.1875 -4.2303
Pd -9.3087 0.3299 -8.3786
Pd -8.8853 -1.0772 -10.8497
Pd -6.9389 -1.1235 -8.5084
Pd -4.3110 0.2658 -4.1006
```



This record from Alexandria describes crystalline V2InPd7 at its relaxed geometry. The functional is PBE.

Output
Formation energy in eV per atom: 0.23
DOS at the Fermi energy in states/eV/atom: 0.904
Total magnetic moment in μB per cell: 1.55
Uncorrected energy in eV/atom: -5.50

```
10
Lattice="-3.9593 0.9648 1.2789 0.0174 -5.7399 4.3837 2.3344 6.4000 2.3990" Properties=species:S:1:pos:R:3 pbc="T T T"
V -1.2555 -1.5546 4.4178
V -0.3520 3.1795 3.6438
Pd -0.3466 -0.4129 6.3702
Pd -1.2608 2.0378 1.6914
Pd 0.5210 -3.1013 3.9522
Pd 0.1993 2.4476 5.9025
Pd -0.8037 0.8125 4.0308
Pd -1.8068 -0.8227 2.1591
Pd 1.8309 3.7614 2.8304
In 0.0000 0.0000 0.0000
```



This record from Alexandria describes crystalline VInPd6 at its relaxed geometry. The functional is PBE.

Output
Relative energy among the computed polymorphs in eV/atom: 0.000
Formation energy in eV per atom: -0.36
DOS at the Fermi energy in states/eV/atom: 0.574
Total magnetic moment in μB per cell: 0.51
Uncorrected energy in eV/atom: -5.74

```
8
Lattice="3.9601 0.0000 0.0000 0.0000 3.9601 0.0000 0.0000 0.0000 7.9431" Properties=species:S:1:pos:R:3 pbc="T T T"
Pd 1.9801 0.0000 5.8416
Pd 0.0000 1.9801 5.8416
Pd 0.0000 1.9801 2.1014
Pd 1.9801 1.9801 0.0000
Pd 1.9801 1.9801 3.9715
Pd 1.9801 0.0000 2.1014
V 0.0000 0.0000 3.9715
In 0.0000 0.0000 0.0000
```



This record from Alexandria describes crystalline V2InPd2 at its relaxed geometry. The functional is PBE.

Output
Formation energy in eV per atom: 0.11
DOS at the Fermi energy in states/eV/atom: 1.090
Total magnetic moment in μB per cell: 0.72
Uncorrected energy in eV/atom: -6.16

```
5
Lattice="3.9826 0.0000 0.0000 0.0000 3.9826 0.0000 1.9913 1.9913 5.3364" Properties=species:S:1:pos:R:3 pbc="T T T"
V 1.9913 1.9913 0.9648
V 3.9826 3.9826 4.3716
Pd 1.9913 3.9826 2.6682
Pd 3.9826 1.9913 2.6682
In 0.0000 0.0000 0.0000
```



This record from Alexandria describes crystalline V2InPd9 at its relaxed geometry. The functional is PBE.

Output
Formation energy in eV per atom: -0.31
DOS at the Fermi energy in states/eV/atom: 0.858
Total magnetic moment in μB per cell: 1.50
Uncorrected energy in eV/atom: -5.96

```
12
Lattice="3.9337 0.0000 0.0000 0.0000 3.9337 0.0000 0.0000 0.0000 11.8791" Properties=species:S:1:pos:R:3 pbc="T T T"
Pd 1.9668 0.0000 9.7549
Pd 1.9668 1.9668 7.8536
Pd 0.0000 1.9668 5.9396
Pd 0.0000 1.9668 2.1242
Pd 1.9668 0.0000 2.1242
Pd 1.9668 0.0000 5.9396
Pd 1.9668 1.9668 4.0255
Pd 0.0000 1.9668 9.7549
Pd 1.9668 1.9668 0.0000
V 0.0000 0.0000 3.9572
V 0.0000 0.0000 7.9219
In 0.0000 0.0000 0.0000
```



This record from Alexandria describes crystalline VIn2Pd2 at its relaxed geometry. The functional is PBE.

Output
Relative energy among the computed polymorphs in eV/atom: 0.000
Formation energy in eV per atom: -0.13
DOS at the Fermi energy in states/eV/atom: 0.927
Total magnetic moment in μB per cell: 6.48
Uncorrected energy in eV/atom: -5.12

```
10
Lattice="-4.0256 4.8075 -4.0651 -1.4776 -5.4118 -4.9368 -2.7256 -0.8264 1.7217" Properties=species:S:1:pos:R:3 pbc="T T T"
V -2.7516 -0.3021 -4.5009
V 0.0000 0.0000 0.0000
Pd -1.0866 -1.3112 -2.3494
Pd -2.7639 2.3213 -3.2611
Pd -4.4167 0.7069 -6.6525
Pd -2.7394 -2.9255 -5.7408
In -3.0003 -3.2178 -3.0776
In -5.2285 1.7871 -4.2025
In -5.2693 -1.7523 -5.9661
In -2.9595 0.3216 -1.3140
```